No. 1
HgHOs2, single point on PBEsol structure, DFT SCAN; N(E_F) = 1.126 states/eV per atom; space-group type = Fm-3m, No. 225; E = -52.007 eV per atom
1.0
4.263 0.000 0.000
2.131 3.692 0.000
2.131 1.231 3.480
H Os Hg
1 2 1
Cartesian
0.000 0.000 0.000 H
2.131 1.231 0.870 Os
6.394 3.692 2.610 Os
4.263 2.461 1.740 Hg

No. 2
La2Rh2Se, single point on PBEsol structure, DFT SCAN; N(E_F) = 0.352 states/eV per atom; space-group type = I4/mmm, No. 139; formation energy without anion corrections = -1.12 eV per atom
1.0
-3.562 1.003 1.126
-1.377 -0.986 -3.477
1.253 -7.139 3.679
Rh Se La
2 1 2
Cartesian
-1.297 -4.058 -0.487 Rh
-2.389 -3.064 1.815 Rh
0.000 0.000 0.000 Se
-0.930 -5.456 1.916 La
-2.755 -1.666 -0.588 La

No. 3
NaHf2Zr, single point on PBEsol structure, DFT SCAN; N(E_F) = 1.134 states/eV per atom; calculated formation energy = 0.660 eV per atom; space-group type = Fm-3m, No. 225
1.0
4.960 0.000 0.000
2.480 4.296 0.000
2.480 1.432 4.050
Na Hf Zr
1 2 1
Cartesian
0.000 0.000 0.000 Na
2.480 1.432 1.012 Hf
7.440 4.296 3.037 Hf
4.960 2.864 2.025 Zr